An optimized crystal structure of BaSr5Bi4, computed with PBE.

Properties
polymorph energy (0 for the lowest one)	0.0	meV per atom
uncorrected energy	-3.43	eV per atom
formation energy	-846	meV/atom
DOS at the Fermi energy	0.73	states/eV/cell

Structure (CIF):
```
data_BaSr5Bi4
_cell_length_a 5.633
_cell_length_b 8.459
_cell_length_c 12.575
_cell_angle_alpha 131.47
_cell_angle_beta 102.94
_cell_angle_gamma 90.00
_symmetry_space_group_name_H-M 'P 1'
_symmetry_Int_Tables_number 1
loop_
_symmetry_equiv_pos_as_xyz
'x,y,z'
loop_
_atom_site_label
_atom_site_type_symbol
_atom_site_fract_x
_atom_site_fract_y
_atom_site_fract_z
Ba1 Ba 0.500 0.000 0.000
Sr1 Sr 0.837 0.686 0.675
Sr2 Sr 0.840 0.162 0.680
Sr3 Sr 0.160 0.838 0.320
Sr4 Sr 0.500 0.500 0.000
Sr5 Sr 0.163 0.314 0.325
Bi1 Bi 0.312 0.874 0.624
Bi2 Bi 0.978 0.700 0.957
Bi3 Bi 0.688 0.126 0.376
Bi4 Bi 0.022 0.300 0.043
```